Model a:
Material: RuPt2Au
Method: DFT, PBE
State: optimized geometry

Summary:
- space group = P4/mmm (123)
- ρ (g/cm3) = 18.05
- volume (Å³/cell) = 63.3

Lattice parameters (Å, degrees): 2.811 2.811 8.013 90.00 90.00 90.00
Sites, in units of the cell vectors:
Ru 0.000 0.000 0.000
Pt 0.500 0.500 0.229
Pt 0.500 0.500 0.771
Au 0.000 0.000 0.500

Model b:
Material: RuPt2Au
Method: DFT, PBE
State: optimized geometry

Summary:
- space group = Pmmm (47)
- ρ (g/cm3) = 18.14
- volume (Å³/cell) = 63.0

Lattice parameters (Å, degrees): 3.954 3.964 4.019 90.00 90.00 90.00
Sites, in units of the cell vectors:
Ru 0.000 0.000 0.000
Pt 0.000 0.500 0.500
Pt 0.500 0.000 0.500
Au 0.500 0.500 0.000

Model c:
Material: RuPt2Au
Method: DFT, PBE
State: optimized geometry

Summary:
- space group = Cm (8)
- ρ (g/cm3) = 18.12
- volume (Å³/cell) = 63.1

Lattice parameters (Å, degrees): 4.854 4.854 4.932 99.36 99.36 33.43
Sites, in units of the cell vectors:
Ru 0.000 0.000 0.000
Pt 0.261 0.261 0.778
Pt 0.509 0.509 0.519
Au 0.752 0.752 0.268

Model d:
Material: RuPt2Au
Method: DFT, PBE
State: optimized geometry

Summary:
- space group = I-4m2 (119)
- ρ (g/cm3) = 18.16
- volume (Å³/cell) = 62.9

Lattice parameters (Å, degrees): 4.847 4.847 4.847 131.29 131.29 71.35
Sites, in units of the cell vectors:
Ru 0.000 0.000 0.000
Pt 0.500 0.500 0.000
Pt 0.750 0.250 0.500
Au 0.250 0.750 0.500

Referenced to the most stable arrangement, the calculated values in meV/atom are model a 0; model b 183; model c 105; model d 143.

Model a:
Material: RuPtAu3
Method: DFT, PBE
State: optimized geometry

Summary:
- space group = Pm-3m (221)
- ρ (g/cm3) = 12.16
- volume (Å³/cell) = 121.1

Lattice parameters (Å, degrees): 4.948 4.948 4.948 90.00 90.00 90.00
Sites, in units of the cell vectors:
Ru 0.000 0.000 0.000
Pt 0.500 0.500 0.500
Au 0.000 0.000 0.500
Au 0.000 0.500 0.000
Au 0.500 0.000 0.000

Model b:
Material: RuPtAu3
Method: DFT, PBE
State: optimized geometry

Summary:
- space group = Pm-3m (221)
- ρ (g/cm3) = 11.58
- volume (Å³/cell) = 127.2

Lattice parameters (Å, degrees): 5.030 5.030 5.030 90.00 90.00 90.00
Sites, in units of the cell vectors:
Ru 0.000 0.000 0.000
Pt 0.500 0.500 0.500
Au 0.000 0.500 0.500
Au 0.500 0.000 0.500
Au 0.500 0.500 0.000

Referenced to the most stable arrangement, the calculated values in meV/atom are model a 92; model b 0.

Model a:
Material: PtAu3S
Method: DFT, PBE
State: optimized geometry

Summary:
- space group = Pm-3m (221)
- ρ (g/cm3) = 10.53
- volume (Å³/cell) = 129.0

Lattice parameters (Å, degrees): 5.052 5.052 5.052 90.00 90.00 90.00
Sites, in units of the cell vectors:
Pt 0.000 0.000 0.000
Au 0.000 0.000 0.500
Au 0.000 0.500 0.000
Au 0.500 0.000 0.000
S 0.500 0.500 0.500

Model b:
Material: PtAu3S
Method: DFT, PBE
State: optimized geometry

Summary:
- space group = Pm-3m (221)
- ρ (g/cm3) = 13.30
- volume (Å³/cell) = 102.2

Lattice parameters (Å, degrees): 4.675 4.675 4.675 90.00 90.00 90.00
Sites, in units of the cell vectors:
Pt 0.000 0.000 0.000
Au 0.000 0.500 0.500
Au 0.500 0.000 0.500
Au 0.500 0.500 0.000
S 0.500 0.500 0.500

Referenced to the most stable arrangement, the calculated values in meV/atom are model a 413; model b 0.

Model a:
Material: Sb2Pt2Au
Method: DFT, PBE
State: optimized geometry

Summary:
- space group = I4/mmm (139)
- ρ (g/cm3) = 11.93
- volume (Å³/cell) = 115.7

Lattice parameters (Å, degrees): 6.107 6.107 6.107 134.07 134.07 66.97
Sites, in units of the cell vectors:
Sb 0.250 0.750 0.500
Sb 0.750 0.250 0.500
Pt 0.128 0.128 0.000
Pt 0.872 0.872 0.000
Au 0.500 0.500 0.000

Model b:
Material: Sb2Pt2Au
Method: DFT, PBE
State: optimized geometry

Summary:
- space group = I4/mmm (139)
- ρ (g/cm3) = 12.53
- volume (Å³/cell) = 110.1

Lattice parameters (Å, degrees): 7.809 7.809 7.809 151.23 151.23 41.14
Sites, in units of the cell vectors:
Sb 0.117 0.117 0.000
Sb 0.883 0.883 0.000
Pt 0.250 0.750 0.500
Pt 0.750 0.250 0.500
Au 0.500 0.500 0.000

Model c:
Material: Sb2Pt2Au
Method: DFT, PBE
State: optimized geometry

Summary:
- space group = P4/mbm (127)
- ρ (g/cm3) = 13.60
- volume (Å³/cell) = 202.8

Lattice parameters (Å, degrees): 7.400 7.400 3.704 90.00 90.00 90.00
Sites, in units of the cell vectors:
Sb 0.164 0.336 0.000
Sb 0.336 0.836 0.000
Sb 0.664 0.164 0.000
Sb 0.836 0.664 0.000
Pt 0.139 0.639 0.500
Pt 0.361 0.139 0.500
Pt 0.639 0.861 0.500
Pt 0.861 0.361 0.500
Au 0.000 0.000 0.500
Au 0.500 0.500 0.500

Referenced to the most stable arrangement, the calculated values in meV/atom are model a 258; model b 73; model c 0.